[1]
VASP calculation (GGA-PBEsol) on a geometry-optimized ZrTcRu2 structure.

Cell lengths 2.9340, 4.4529, 4.6363 Å; angles 90.00, 90.11, 90.00 degrees
Closest atoms and distances in Å follow each position.
Space group Pm (No. 6)
Symmetry-distinct sites (fractional):
1 Zr 0.0000 0.0000 0.0000  8 Ru 2.68-2.81, 2 Zr 2.93, 2 Tc 2.97
2 Tc 0.0056 0.5000 0.5765  8 Ru 2.67-2.81, 2 Tc 2.93, 2 Zr 2.97
3 Ru 0.5001 0.5000 0.0612  4 Tc 2.67-2.81, 4 Zr 2.68, 4 Ru 2.93-2.96
4 Ru 0.5008 0.0000 0.4829  4 Zr 2.68-2.81, 4 Tc 2.69-2.71, 4 Ru 2.93-2.96

Its relative energy among the computed polymorphs is 0 meV per atom. The uncorrected energy is -40.9 eV/cell. The total magnetization is 0.00 μB per cell.

=====

[2]
VASP calculation (GGA-PBEsol) on a geometry-optimized YTa2Tc structure.

Cell lengths 3.2274, 4.8400, 9.4593 Å; angles 90.00, 90.00, 90.00 degrees
Closest atoms and distances in Å follow each position.
Space group Imm2 (No. 44)
Symmetry-distinct sites (fractional):
1 Y 0.0000 0.0000 0.0000  2 Tc 2.84, 6 Ta 2.93-3.03
2 Ta 0.0000 0.0000 0.5387  2 Tc 2.59
3 Ta 0.0000 0.5000 0.7717  4 Tc 2.91, 4 Ta 3.00-3.23, 4 Y 3.03-3.24
4 Tc 0.0000 0.5000 0.2524  2 Ta 2.59, 2 Y 2.84

Its relative energy among the computed polymorphs is 110 meV per atom. The uncorrected energy is -85.0 eV/cell. The total magnetization is 0.00 μB per cell.

=====

[3]
VASP calculation (GGA-PBEsol) on a geometry-optimized LiSi4NiO10 structure.

Cell lengths 7.7348, 5.2075, 11.8988 Å; angles 90.00, 112.13, 90.00 degrees
Closest atoms and distances in Å follow each position.
Space group P2/c (No. 13)
Symmetry-distinct sites (fractional):
1 Li 0.0000 0.2389 0.2500  4 O 1.92
2 Si 0.2921 0.4439 0.6466  4 O 1.62-1.63
3 Si 0.2926 0.0505 0.9976  4 O 1.61-1.63
4 Ni 0.0000 0.2609 0.7500  4 O 1.83-1.84
5 O 0.1365 0.4999 0.2049  1 Si 1.63
6 O 0.1404 0.0225 0.8598  1 Si 1.62
7 O 0.2483 0.1626 0.5829  2 Si 1.63
8 O 0.2791 0.3373 0.0466  2 Si 1.62
9 O 0.5000 0.0000 0.0000  2 Si 1.61
10 O 0.5000 0.4463 0.7500  2 Si 1.62

The uncorrected energy is -242.7 eV/cell. The total magnetization is 6.00 μB per cell. The uncorrected formation energy comes out at -2359 meV per atom.

=====

[4]
VASP calculation (GGA-PBEsol) on a geometry-optimized K2RbScBr6 structure.

Cell lengths 11.5181, 11.5181, 11.5181 Å; angles 90.00, 90.00, 90.00 degrees
Closest atoms and distances in Å follow each position.
Space group Fm-3m (No. 225)
Symmetry-distinct sites (fractional):
1 K 0.2500 0.2500 0.2500  12 Br 4.08
2 Rb 0.0000 0.0000 0.0000  6 Br 3.14
3 Sc 0.0000 0.0000 0.5000  6 Br 2.61
4 Br 0.0000 0.0000 0.2730  1 Sc 2.61

The uncorrected energy is -150.6 eV/cell. The total magnetization is 0.00 μB per cell. The uncorrected formation energy comes out at -1653 meV per atom.

=====

[5]
VASP calculation (GGA-PBEsol) on a geometry-optimized LiTc2Ni structure.

Cell lengths 2.9653, 2.9653, 5.6032 Å; angles 90.00, 90.00, 90.00 degrees
Closest atoms and distances in Å follow each position.
Space group P4mm (No. 99)
Symmetry-distinct sites (fractional):
1 Li 0.0000 0.0000 0.0000  4 Ni 2.38, 4 Tc 2.57
2 Tc 0.0000 0.0000 0.4849  4 Tc 2.52, 4 Ni 2.63, 1 Li 2.72
3 Tc 0.5000 0.5000 0.7343  4 Tc 2.52, 4 Li 2.57, 1 Ni 2.62
4 Ni 0.5000 0.5000 0.2026  4 Li 2.38, 5 Tc 2.62-2.63

Its relative energy among the computed polymorphs is 0 meV per atom. The uncorrected energy is -29.9 eV/cell. The total magnetization is 0.00 μB per cell.

=====

[6]
VASP calculation (GGA-PBEsol) on a geometry-optimized TlPt3W structure.

Cell lengths 4.8486, 4.8486, 4.8486 Å; angles 90.00, 90.00, 90.00 degrees
Closest atoms and distances in Å follow each position.
Space group Pm-3m (No. 221)
Symmetry-distinct sites (fractional):
1 Tl 0.0000 0.0000 0.0000  12 Pt 3.43
2 Pt 0.0000 0.5000 0.5000  2 W 2.42
3 W 0.5000 0.5000 0.5000  6 Pt 2.42

Its relative energy among the computed polymorphs is 0 meV per atom. The uncorrected energy is -32.0 eV/cell. The total magnetization is 0.00 μB per cell.

=====

[7]
VASP calculation (GGA-PBEsol) on a geometry-optimized Mg2AlRu structure.

Cell lengths 3.1788, 3.1788, 6.7374 Å; angles 90.00, 90.00, 90.00 degrees
Closest atoms and distances in Å follow each position.
Space group P4mm (No. 99)
Symmetry-distinct sites (fractional):
1 Mg 0.0000 0.0000 0.0000  4 Al 2.93, 1 Ru 2.95, 8 Mg 3.11-3.18
2 Mg 0.5000 0.5000 0.3192  1 Al 2.71, 4 Ru 2.78
3 Al 0.5000 0.5000 0.7214  4 Ru 2.49, 1 Mg 2.71
4 Ru 0.0000 0.0000 0.5616  4 Al 2.49, 4 Mg 2.78

The uncorrected energy is -18.5 eV/cell. The total magnetization is 0.00 μB per cell.

=====

[8]
VASP calculation (GGA-PBEsol) on a geometry-optimized BaZnSe2 structure.

Cell lengths 4.7651, 4.2262, 6.6539 Å; angles 90.00, 98.58, 90.00 degrees
Closest atoms and distances in Å follow each position.
Space group Pm (No. 6)
Symmetry-distinct sites (fractional):
1 Ba 0.0000 0.0000 0.0000  6 Se 3.20-3.45
2 Zn 0.2481 0.5000 0.6054  3 Se 2.38-2.43
3 Se 0.0342 0.0000 0.4856  2 Zn 2.43
4 Se 0.4911 0.5000 0.9456  1 Zn 2.38

The uncorrected energy is -16.1 eV/cell. The total magnetization is 0.00 μB per cell. The uncorrected formation energy comes out at -1160 meV per atom.

=====

- What is the formula in the third record?
  LiSi4NiO10

=====

- Number 5 is which compound?
  LiTc2Ni

=====

- Which value of uncorrected energy does entry 8 give?
  -16.1 eV/cell

=====

- Which value of uncorrected energy does entry 8 give?
  -16.1 eV/cell